Entry 1:
{
  "formula": "Ac7Sn4Pb",
  "functional": "GGA-PBE",
  "state": "relaxed",
  "formation_energy_ev_per_atom": -0.410,
  "e_tot_ev_per_cell": -53.40,
  "dos_ef_per_ev_fu": 7.93,
  "lattice_angstrom": [[8.3644, -3.1878, 0.0000], [8.3644, 3.1878, 0.0000], [-5.7576, 0.0000, 8.6744]],
  "species": ["Ac", "Ac", "Ac", "Ac", "Ac", "Ac", "Ac", "Sn", "Sn", "Sn", "Sn", "Pb"],
  "frac_coords": [[0.0000, 0.0000, 0.0000], [0.1832, 0.1832, 0.5748], [0.3141, 0.3141, 0.0486], [0.4508, 0.4508, 0.6406], [0.5492, 0.5492, 0.3594], [0.6859, 0.6859, 0.9514], [0.8168, 0.8168, 0.4252], [0.0691, 0.0691, 0.7550], [0.2382, 0.2382, 0.2963], [0.7618, 0.7618, 0.7037], [0.9309, 0.9309, 0.2450], [0.5000, 0.5000, 0.0000]]
}

Entry 2:
{
  "formula": "YTe2Se",
  "functional": "GGA-PBE",
  "state": "relaxed",
  "e_tot_ev_per_cell": -19.35,
  "dos_ef_per_ev_fu": 2.76,
  "lattice_angstrom": [[5.3825, 0.0000, 0.0000], [0.0000, 4.6479, 0.0000], [-2.6803, 0.0000, 5.5597]],
  "species": ["Y", "Te", "Te", "Se"],
  "frac_coords": [[0.0000, 0.0000, 0.0000], [0.1947, 0.5000, 0.3894], [0.8053, 0.5000, 0.6106], [0.5000, 0.0000, 0.0000]]
}

Entry 3:
{
  "formula": "Cd2Pb2Au",
  "functional": "GGA-PBE",
  "state": "relaxed",
  "formation_energy_ev_per_atom": 0.112,
  "e_tot_ev_per_cell": -23.93,
  "de_polymorph_ev_per_atom": 0.123,
  "dos_ef_per_ev_fu": 2.36,
  "lattice_angstrom": [[7.6855, 0.0000, 0.0000], [0.0000, 7.6855, 0.0000], [0.0000, 0.0000, 4.7460]],
  "species": ["Cd", "Cd", "Cd", "Cd", "Pb", "Pb", "Pb", "Pb", "Au", "Au"],
  "frac_coords": [[0.1515, 0.3485, 0.0000], [0.3485, 0.8485, 0.0000], [0.6515, 0.1515, 0.0000], [0.8485, 0.6515, 0.0000], [0.1573, 0.6573, 0.5000], [0.3427, 0.1573, 0.5000], [0.6573, 0.8427, 0.5000], [0.8427, 0.3427, 0.5000], [0.0000, 0.0000, 0.5000], [0.5000, 0.5000, 0.5000]]
}

Entry 4:
{
  "formula": "Nd12Y3Zn5",
  "functional": "GGA-PBE",
  "state": "relaxed",
  "formation_energy_ev_per_atom": 0.471,
  "e_tot_ev_per_cell": -294.26,
  "dos_ef_per_ev_fu": 30.44,
  "lattice_angstrom": [[-9.0622, 9.0622, 9.0622], [9.0622, -9.0622, 9.0622], [9.0622, 9.0622, -9.0622]],
  "species": ["Nd", "Nd", "Nd", "Nd", "Nd", "Nd", "Nd", "Nd", "Nd", "Nd", "Nd", "Nd", "Nd", "Nd", "Nd", "Nd", "Nd", "Nd", "Nd", "Nd", "Nd", "Nd", "Nd", "Nd", "Nd", "Nd", "Nd", "Nd", "Nd", "Nd", "Nd", "Nd", "Nd", "Nd", "Nd", "Nd", "Nd", "Nd", "Nd", "Nd", "Nd", "Nd", "Nd", "Nd", "Nd", "Nd", "Nd", "Nd", "Y", "Y", "Y", "Y", "Y", "Y", "Y", "Y", "Y", "Y", "Y", "Y", "Zn", "Zn", "Zn", "Zn", "Zn", "Zn", "Zn", "Zn", "Zn", "Zn", "Zn", "Zn", "Zn", "Zn", "Zn", "Zn", "Zn", "Zn", "Zn", "Zn"],
  "frac_coords": [[0.0410, 0.2115, 0.1172], [0.0410, 0.3295, 0.9238], [0.0762, 0.6172, 0.4058], [0.0762, 0.9590, 0.6705], [0.0942, 0.7115, 0.6705], [0.0942, 0.8828, 0.4238], [0.1172, 0.0410, 0.2115], [0.1172, 0.5762, 0.9058], [0.1705, 0.2115, 0.5942], [0.1705, 0.4590, 0.5762], [0.2115, 0.1172, 0.0410], [0.2115, 0.5942, 0.1705], [0.2885, 0.3295, 0.9058], [0.2885, 0.4590, 0.3828], [0.3295, 0.9058, 0.2885], [0.3295, 0.9238, 0.0410], [0.3828, 0.2885, 0.4590], [0.3828, 0.5942, 0.9238], [0.4058, 0.0762, 0.6172], [0.4058, 0.8295, 0.7885], [0.4238, 0.0942, 0.8828], [0.4238, 0.8295, 0.5410], [0.4590, 0.3828, 0.2885], [0.4590, 0.5762, 0.1705], [0.5410, 0.4238, 0.8295], [0.5410, 0.6172, 0.7115], [0.5762, 0.1705, 0.4590], [0.5762, 0.9058, 0.1172], [0.5942, 0.1705, 0.2115], [0.5942, 0.9238, 0.3828], [0.6172, 0.4058, 0.0762], [0.6172, 0.7115, 0.5410], [0.6705, 0.0762, 0.9590], [0.6705, 0.0942, 0.7115], [0.7115, 0.5410, 0.6172], [0.7115, 0.6705, 0.0942], [0.7885, 0.4058, 0.8295], [0.7885, 0.8828, 0.9590], [0.8295, 0.5410, 0.4238], [0.8295, 0.7885, 0.4058], [0.8828, 0.4238, 0.0942], [0.8828, 0.9590, 0.7885], [0.9058, 0.1172, 0.5762], [0.9058, 0.2885, 0.3295], [0.9238, 0.0410, 0.3295], [0.9238, 0.3828, 0.5942], [0.9590, 0.6705, 0.0762], [0.9590, 0.7885, 0.8828], [0.1250, 0.2500, 0.3750], [0.1250, 0.3750, 0.7500], [0.2500, 0.3750, 0.1250], [0.2500, 0.8750, 0.6250], [0.3750, 0.1250, 0.2500], [0.3750, 0.7500, 0.1250], [0.6250, 0.2500, 0.8750], [0.6250, 0.8750, 0.7500], [0.7500, 0.1250, 0.3750], [0.7500, 0.6250, 0.8750], [0.8750, 0.6250, 0.2500], [0.8750, 0.7500, 0.6250], [0.0000, 0.0000, 0.0000], [0.0000, 0.0000, 0.5000], [0.0000, 0.5000, 0.0000], [0.0000, 0.5000, 0.5000], [0.1250, 0.7500, 0.8750], [0.1250, 0.8750, 0.2500], [0.2500, 0.1250, 0.8750], [0.2500, 0.6250, 0.3750], [0.3750, 0.2500, 0.6250], [0.3750, 0.6250, 0.7500], [0.5000, 0.0000, 0.0000], [0.5000, 0.0000, 0.5000], [0.5000, 0.5000, 0.0000], [0.5000, 0.5000, 0.5000], [0.6250, 0.3750, 0.2500], [0.6250, 0.7500, 0.3750], [0.7500, 0.3750, 0.6250], [0.7500, 0.8750, 0.1250], [0.8750, 0.1250, 0.7500], [0.8750, 0.2500, 0.1250]]
}